Compound: CoHg2F
Source: Alexandria via LeMat-Bulk
Functional: GGA+U
Structure: optimized geometry

```
CoHg2F
1.0
-3.6074 3.6074 2.9517
3.6074 -3.6074 2.9517
3.6074 3.6074 -2.9517
Co Hg F
2 4 2
Cartesian
0.0000 0.0000 0.0000 Co
0.0000 3.6074 1.4758 Co
1.8037 -1.7524 2.2138 Hg
1.8550 1.8037 0.7379 Hg
1.8037 5.3598 -0.7379 Hg
1.7524 1.8037 3.6896 Hg
3.6074 0.0000 1.4758 F
0.0000 0.0000 2.9517 F
```

## Properties
space group	I-42d (122)
total moment	2.0	μB per formula unit
offset from the most stable computed form	0	meV per atom